Entry 1:
# AlSiPt3 PBE-GGA relaxed
data_AlSiPt3
_chemical_formula_sum 'Al1 Si1 Pt3'
_cell_length_a 4.520
_cell_length_b 4.520
_cell_length_c 4.520
_cell_angle_alpha 90.00
_cell_angle_beta 90.00
_cell_angle_gamma 90.00
_symmetry_space_group_name_H-M 'P m -3 m'
_symmetry_Int_Tables_number 221
_symmetry_space_group_name_Hall '-P 4 2 3'
loop_
_atom_site_label
_atom_site_type_symbol
_atom_site_fract_x
_atom_site_fract_y
_atom_site_fract_z
_atom_site_occupancy
Al1 Al 0.000 0.000 0.000 1
Si1 Si 0.500 0.500 0.500 1
Pt1 Pt 0.000 0.500 0.500 1
# E_form (uncorrected)   0.11 eV per atom
# Magnetization   0.00 μB/f.u.
# Distance to the lowest polymorph of the same formula   0 meV/atom

=====

Entry 2:
# Al2SiPt PBE-GGA relaxed
data_Al2SiPt
_chemical_formula_sum 'Al2 Si1 Pt1'
_cell_length_a 3.323
_cell_length_b 3.663
_cell_length_c 5.156
_cell_angle_alpha 90.00
_cell_angle_beta 90.00
_cell_angle_gamma 90.00
_symmetry_space_group_name_H-M 'P m m 2'
_symmetry_Int_Tables_number 25
loop_
_symmetry_equiv_pos_as_xyz
'x,y,z'
'-x,-y,z'
'-x,y,z'
'x,-y,z'
loop_
_atom_site_label
_atom_site_type_symbol
_atom_site_fract_x
_atom_site_fract_y
_atom_site_fract_z
_atom_site_occupancy
Al1 Al 0.000 0.000 0.000 1
Al2 Al 0.500 0.500 0.307 1
Si1 Si 0.500 0.500 0.804 1
Pt1 Pt 0.000 0.000 0.487 1
# E_form (uncorrected)   -0.28 eV per atom
# Magnetization   0.00 μB/f.u.

=====

Entry 3:
# Al2SiPt PBE-GGA relaxed
data_Al2SiPt
_chemical_formula_sum 'Al4 Si2 Pt2'
_cell_length_a 2.725
_cell_length_b 4.346
_cell_length_c 11.087
_cell_angle_alpha 90.00
_cell_angle_beta 90.00
_cell_angle_gamma 90.00
_symmetry_space_group_name_H-M 'I m m 2'
_symmetry_Int_Tables_number 44
loop_
_symmetry_equiv_pos_as_xyz
'x,y,z'
'-x,-y,z'
'-x,y,z'
'x,-y,z'
'x+1/2,y+1/2,z+1/2'
'-x+1/2,-y+1/2,z+1/2'
'-x+1/2,y+1/2,z+1/2'
'x+1/2,-y+1/2,z+1/2'
loop_
_atom_site_label
_atom_site_type_symbol
_atom_site_fract_x
_atom_site_fract_y
_atom_site_fract_z
_atom_site_occupancy
Al1 Al 0.000 0.000 0.000 1
Al2 Al 0.000 0.500 0.243 1
Si1 Si 0.000 0.000 0.413 1
Pt1 Pt 0.000 0.500 0.704 1
# E_form (uncorrected)   -0.35 eV per atom
# Magnetization   0.00 μB/f.u.